Entry 1:
## NdGdCdAu (PBE)

Data for an optimized crystal structure of NdGdCdAu.

Values from the calculation:
Fermi-level density of states = 1.13 states/eV per atom
Spin magnetization = 29.3 μB/cell

The structure in CIF format:
```
data_NdGdCdAu
_cell_length_a 7.4849
_cell_length_b 7.4849
_cell_length_c 7.4849
_cell_angle_alpha 90.00
_cell_angle_beta 90.00
_cell_angle_gamma 90.00
_space_group_name_H-M_alt 'F -4 3 m'
_space_group_IT_number 216
_space_group_name_Hall 'F -4 2 3'
loop_
_atom_site_label
_atom_site_type_symbol
_atom_site_fract_x
_atom_site_fract_y
_atom_site_fract_z
Nd1 Nd 0.0000 0.0000 0.0000
Gd1 Gd 0.0000 0.0000 0.5000
Cd1 Cd 0.2500 0.2500 0.2500
Au1 Au 0.2500 0.2500 0.7500
```

***

Entry 2:
## GdCdNiAu (PBE)

Data for an optimized crystal structure of GdCdNiAu.

Values from the calculation:
Fermi-level density of states = 0.67 states/eV per atom
Spin magnetization = 28.7 μB/cell

The structure in CIF format:
```
data_GdCdNiAu
_cell_length_a 6.8295
_cell_length_b 6.8295
_cell_length_c 6.8295
_cell_angle_alpha 90.00
_cell_angle_beta 90.00
_cell_angle_gamma 90.00
_space_group_name_H-M_alt 'F -4 3 m'
_space_group_IT_number 216
_space_group_name_Hall 'F -4 2 3'
loop_
_atom_site_label
_atom_site_type_symbol
_atom_site_fract_x
_atom_site_fract_y
_atom_site_fract_z
Gd1 Gd 0.0000 0.0000 0.0000
Cd1 Cd 0.0000 0.0000 0.5000
Ni1 Ni 0.2500 0.2500 0.2500
Au1 Au 0.2500 0.2500 0.7500
```

***

Entry 3:
## GdCdPdAu (PBE)

Data for an optimized crystal structure of GdCdPdAu.

Values from the calculation:
Fermi-level density of states = 0.63 states/eV per atom
Spin magnetization = 28.6 μB/cell

The structure in CIF format:
```
data_GdCdPdAu
_cell_length_a 6.9413
_cell_length_b 6.9413
_cell_length_c 6.9413
_cell_angle_alpha 90.00
_cell_angle_beta 90.00
_cell_angle_gamma 90.00
_space_group_name_H-M_alt 'F -4 3 m'
_space_group_IT_number 216
_space_group_name_Hall 'F -4 2 3'
loop_
_atom_site_label
_atom_site_type_symbol
_atom_site_fract_x
_atom_site_fract_y
_atom_site_fract_z
Gd1 Gd 0.0000 0.0000 0.0000
Cd1 Cd 0.0000 0.0000 0.5000
Pd1 Pd 0.2500 0.2500 0.2500
Au1 Au 0.2500 0.2500 0.7500
```

***

Entry 4:
## GdPuCdAu (PBE)

Data for an optimized crystal structure of GdPuCdAu.

Values from the calculation:
Fermi-level density of states = 2.85 states/eV per atom
Spin magnetization = 52.2 μB/cell

The structure in CIF format:
```
data_GdPuCdAu
_cell_length_a 7.4186
_cell_length_b 7.4186
_cell_length_c 7.4186
_cell_angle_alpha 90.00
_cell_angle_beta 90.00
_cell_angle_gamma 90.00
_space_group_name_H-M_alt 'F -4 3 m'
_space_group_IT_number 216
_space_group_name_Hall 'F -4 2 3'
loop_
_atom_site_label
_atom_site_type_symbol
_atom_site_fract_x
_atom_site_fract_y
_atom_site_fract_z
Gd1 Gd 0.0000 0.0000 0.0000
Pu1 Pu 0.0000 0.0000 0.5000
Cd1 Cd 0.2500 0.2500 0.2500
Au1 Au 0.2500 0.2500 0.7500
```

***

Entry 5:
## GdCdRhAu (PBE)

Data for an optimized crystal structure of GdCdRhAu.

Values from the calculation:
Fermi-level density of states = 0.50 states/eV per atom
Spin magnetization = 28.2 μB/cell

The structure in CIF format:
```
data_GdCdRhAu
_cell_length_a 6.8676
_cell_length_b 6.8676
_cell_length_c 6.8676
_cell_angle_alpha 90.00
_cell_angle_beta 90.00
_cell_angle_gamma 90.00
_space_group_name_H-M_alt 'F -4 3 m'
_space_group_IT_number 216
_space_group_name_Hall 'F -4 2 3'
loop_
_atom_site_label
_atom_site_type_symbol
_atom_site_fract_x
_atom_site_fract_y
_atom_site_fract_z
Gd1 Gd 0.0000 0.0000 0.0000
Cd1 Cd 0.0000 0.0000 0.5000
Rh1 Rh 0.2500 0.2500 0.7500
Au1 Au 0.2500 0.2500 0.2500
```

***

Entry 6:
## GdScCdAu (PBE)

Data for an optimized crystal structure of GdScCdAu.

Values from the calculation:
Fermi-level density of states = 1.01 states/eV per atom
Spin magnetization = 28.9 μB/cell

The structure in CIF format:
```
data_GdScCdAu
_cell_length_a 7.1917
_cell_length_b 7.1917
_cell_length_c 7.1917
_cell_angle_alpha 90.00
_cell_angle_beta 90.00
_cell_angle_gamma 90.00
_space_group_name_H-M_alt 'F -4 3 m'
_space_group_IT_number 216
_space_group_name_Hall 'F -4 2 3'
loop_
_atom_site_label
_atom_site_type_symbol
_atom_site_fract_x
_atom_site_fract_y
_atom_site_fract_z
Gd1 Gd 0.0000 0.0000 0.0000
Sc1 Sc 0.0000 0.0000 0.5000
Cd1 Cd 0.2500 0.2500 0.7500
Au1 Au 0.2500 0.2500 0.2500
```

***

Entry 7:
## SmGdCdAu (PBE)

Data for an optimized crystal structure of SmGdCdAu.

Values from the calculation:
Fermi-level density of states = 1.07 states/eV per atom
Spin magnetization = 29.0 μB/cell

The structure in CIF format:
```
data_SmGdCdAu
_cell_length_a 7.4400
_cell_length_b 7.4400
_cell_length_c 7.4400
_cell_angle_alpha 90.00
_cell_angle_beta 90.00
_cell_angle_gamma 90.00
_space_group_name_H-M_alt 'F -4 3 m'
_space_group_IT_number 216
_space_group_name_Hall 'F -4 2 3'
loop_
_atom_site_label
_atom_site_type_symbol
_atom_site_fract_x
_atom_site_fract_y
_atom_site_fract_z
Sm1 Sm 0.0000 0.0000 0.0000
Gd1 Gd 0.0000 0.0000 0.5000
Cd1 Cd 0.2500 0.2500 0.2500
Au1 Au 0.2500 0.2500 0.7500
```

***

Entry 8:
## GdCdSnAu (PBE)

Data for an optimized crystal structure of GdCdSnAu.

Values from the calculation:
Fermi-level density of states = 0.35 states/eV per atom
Spin magnetization = 27.9 μB/cell

The structure in CIF format:
```
data_GdCdSnAu
_cell_length_a 7.2247
_cell_length_b 7.2247
_cell_length_c 7.2247
_cell_angle_alpha 90.00
_cell_angle_beta 90.00
_cell_angle_gamma 90.00
_space_group_name_H-M_alt 'F -4 3 m'
_space_group_IT_number 216
_space_group_name_Hall 'F -4 2 3'
loop_
_atom_site_label
_atom_site_type_symbol
_atom_site_fract_x
_atom_site_fract_y
_atom_site_fract_z
Gd1 Gd 0.0000 0.0000 0.0000
Cd1 Cd 0.0000 0.0000 0.5000
Sn1 Sn 0.2500 0.2500 0.2500
Au1 Au 0.2500 0.2500 0.7500
```

***

Entry 9:
## SrGdCdAu (PBE)

Data for an optimized crystal structure of SrGdCdAu.

Values from the calculation:
Fermi-level density of states = 1.14 states/eV per atom
Spin magnetization = 28.4 μB/cell

The structure in CIF format:
```
data_SrGdCdAu
_cell_length_a 7.6151
_cell_length_b 7.6151
_cell_length_c 7.6151
_cell_angle_alpha 90.00
_cell_angle_beta 90.00
_cell_angle_gamma 90.00
_space_group_name_H-M_alt 'F -4 3 m'
_space_group_IT_number 216
_space_group_name_Hall 'F -4 2 3'
loop_
_atom_site_label
_atom_site_type_symbol
_atom_site_fract_x
_atom_site_fract_y
_atom_site_fract_z
Sr1 Sr 0.0000 0.0000 0.0000
Gd1 Gd 0.0000 0.0000 0.5000
Cd1 Cd 0.2500 0.2500 0.2500
Au1 Au 0.2500 0.2500 0.7500
```

***

Entry 10:
## GdTmCdAu (PBE)

Data for an optimized crystal structure of GdTmCdAu.

Values from the calculation:
Fermi-level density of states = 0.87 states/eV per atom
Spin magnetization = 28.7 μB/cell

The structure in CIF format:
```
data_GdTmCdAu
_cell_length_a 7.3296
_cell_length_b 7.3296
_cell_length_c 7.3296
_cell_angle_alpha 90.00
_cell_angle_beta 90.00
_cell_angle_gamma 90.00
_space_group_name_H-M_alt 'F -4 3 m'
_space_group_IT_number 216
_space_group_name_Hall 'F -4 2 3'
loop_
_atom_site_label
_atom_site_type_symbol
_atom_site_fract_x
_atom_site_fract_y
_atom_site_fract_z
Gd1 Gd 0.0000 0.0000 0.0000
Tm1 Tm 0.0000 0.0000 0.5000
Cd1 Cd 0.2500 0.2500 0.2500
Au1 Au 0.2500 0.2500 0.7500
```

***

Entry 11:
## GdZrCdAu (PBE)

Data for an optimized crystal structure of GdZrCdAu.

Values from the calculation:
Fermi-level density of states = 1.09 states/eV per atom
Spin magnetization = 33.1 μB/cell

The structure in CIF format:
```
data_GdZrCdAu
_cell_length_a 7.1893
_cell_length_b 7.1893
_cell_length_c 7.1893
_cell_angle_alpha 90.00
_cell_angle_beta 90.00
_cell_angle_gamma 90.00
_space_group_name_H-M_alt 'F -4 3 m'
_space_group_IT_number 216
_space_group_name_Hall 'F -4 2 3'
loop_
_atom_site_label
_atom_site_type_symbol
_atom_site_fract_x
_atom_site_fract_y
_atom_site_fract_z
Gd1 Gd 0.0000 0.0000 0.0000
Zr1 Zr 0.0000 0.0000 0.5000
Cd1 Cd 0.2500 0.2500 0.2500
Au1 Au 0.2500 0.2500 0.7500
```

***

Entry 12:
## Cd2Ge2Au5 (PBE)

Data for an optimized crystal structure of Cd2Ge2Au5.

Values from the calculation:
Fermi-level density of states = 0.34 states/eV per atom
Spin magnetization = 0.0 μB/cell

The structure in CIF format:
```
data_Cd2Ge2Au5
_cell_length_a 13.6027
_cell_length_b 4.1206
_cell_length_c 8.3681
_cell_angle_alpha 90.00
_cell_angle_beta 124.98
_cell_angle_gamma 90.00
_space_group_name_H-M_alt 'C 1 2/m 1'
_space_group_IT_number 12
_space_group_name_Hall '-C 2y'
loop_
_atom_site_label
_atom_site_type_symbol
_atom_site_fract_x
_atom_site_fract_y
_atom_site_fract_z
Cd1 Cd 0.1680 0.0000 0.0209
Ge1 Ge 0.1676 0.5000 0.5286
Au1 Au 0.0000 0.5000 0.0000
Au2 Au 0.0776 0.5000 0.7270
Au3 Au 0.0967 0.0000 0.2952
```

***

| no. | mass density (g/cm³) | formation enthalpy at 0 K (meV per atom) |
| --- | --- | --- |
| 1 | 9.68 | -528 |
| 2 | 10.95 | -381 |
| 3 | 11.38 | -659 |
| 4 | 11.56 | -325 |
| 5 | 11.68 | -527 |
| 6 | 9.14 | -507 |
| 7 | 9.95 | -539 |
| 8 | 10.31 | -489 |
| 9 | 8.34 | -474 |
| 10 | 10.72 | -558 |
| 11 | 9.97 | -327 |
| 12 | 11.71 | -57 |